The following is a DFT calculation (GGA-PBE) of a geometry-optimized AcGdIrRh structure.

```
data_AcGdIrRh
_cell_length_a 5.0780
_cell_length_b 5.0780
_cell_length_c 5.0780
_cell_angle_alpha 60.00
_cell_angle_beta 60.00
_cell_angle_gamma 60.00
_symmetry_space_group_name_H-M 'P 1'
_symmetry_Int_Tables_number 1
loop_
_symmetry_equiv_pos_as_xyz
'x,y,z'
loop_
_atom_site_label
_atom_site_type_symbol
_atom_site_fract_x
_atom_site_fract_y
_atom_site_fract_z
Gd1 Gd 0.7500 0.7500 0.7500
Ac1 Ac 0.2500 0.2500 0.2500
Ir1 Ir 0.5000 0.5000 0.5000
Rh1 Rh 0.0000 0.0000 0.0000
```

Output
- Electronic total energy: -9.193 eV per atom
- Space group: F-43m
- Spin magnetization: 7.01 μB per formula unit
- Calculated volume: 23.15 Å³/atom
- Density of states at the Fermi level: 0.61 states/eV/atom
- ΔE_f: -0.592 eV/atom


The following is a DFT calculation (GGA-PBE) of a geometry-optimized AcGdSnIr structure.

```
data_AcGdSnIr
_cell_length_a 5.3481
_cell_length_b 5.3481
_cell_length_c 5.3481
_cell_angle_alpha 60.00
_cell_angle_beta 60.00
_cell_angle_gamma 60.00
_symmetry_space_group_name_H-M 'P 1'
_symmetry_Int_Tables_number 1
loop_
_symmetry_equiv_pos_as_xyz
'x,y,z'
loop_
_atom_site_label
_atom_site_type_symbol
_atom_site_fract_x
_atom_site_fract_y
_atom_site_fract_z
Gd1 Gd 0.0000 0.0000 0.0000
Ac1 Ac 0.5000 0.5000 0.5000
Ir1 Ir 0.7500 0.7500 0.7500
Sn1 Sn 0.2500 0.2500 0.2500
```

Output
- Electronic total energy: -8.197 eV per atom
- Space group: F-43m
- Spin magnetization: 7.00 μB per formula unit
- Calculated volume: 27.04 Å³/atom
- Density of states at the Fermi level: 0.87 states/eV/atom
- ΔE_f: -0.433 eV/atom


The following is a DFT calculation (GGA-PBE) of a geometry-optimized AcGdZnIr structure.

```
data_AcGdZnIr
_cell_length_a 5.1834
_cell_length_b 5.1834
_cell_length_c 5.1834
_cell_angle_alpha 60.00
_cell_angle_beta 60.00
_cell_angle_gamma 60.00
_symmetry_space_group_name_H-M 'P 1'
_symmetry_Int_Tables_number 1
loop_
_symmetry_equiv_pos_as_xyz
'x,y,z'
loop_
_atom_site_label
_atom_site_type_symbol
_atom_site_fract_x
_atom_site_fract_y
_atom_site_fract_z
Gd1 Gd 0.7500 0.7500 0.7500
Ac1 Ac 0.2500 0.2500 0.2500
Ir1 Ir 0.0000 0.0000 0.0000
Zn1 Zn 0.5000 0.5000 0.5000
```

Output
- Electronic total energy: -7.509 eV per atom
- Space group: F-43m
- Spin magnetization: 6.99 μB per formula unit
- Calculated volume: 24.62 Å³/atom
- Density of states at the Fermi level: 0.41 states/eV/atom
- ΔE_f: -0.428 eV/atom


The following is a DFT calculation (GGA-PBE) of a geometry-optimized Ac2LaGd structure.

```
data_Ac2LaGd
_cell_length_a 3.8546
_cell_length_b 3.8546
_cell_length_c 10.6686
_cell_angle_alpha 90.00
_cell_angle_beta 90.00
_cell_angle_gamma 90.00
_symmetry_space_group_name_H-M 'P 1'
_symmetry_Int_Tables_number 1
loop_
_symmetry_equiv_pos_as_xyz
'x,y,z'
loop_
_atom_site_label
_atom_site_type_symbol
_atom_site_fract_x
_atom_site_fract_y
_atom_site_fract_z
Ac1 Ac 0.0000 0.0000 0.7451
Ac2 Ac 0.0000 0.0000 0.2549
Gd1 Gd 0.5000 0.5000 0.5000
La1 La 0.5000 0.5000 0.0000
```

Output
- Electronic total energy: -6.778 eV per atom
- Space group: P4/mmm
- Spin magnetization: 7.63 μB per formula unit
- Calculated volume: 39.63 Å³/atom
- Density of states at the Fermi level: 1.83 states/eV/atom
- ΔE_f: 0.029 eV/atom
- Energy above the lowest structure with this stoichiometry: 0.007 eV/atom


The following is a DFT calculation (GGA-PBE) of a geometry-optimized Ac2LaGd structure.

```
data_Ac2LaGd
_cell_length_a 5.3332
_cell_length_b 5.4389
_cell_length_c 5.4389
_cell_angle_alpha 90.00
_cell_angle_beta 90.00
_cell_angle_gamma 90.00
_symmetry_space_group_name_H-M 'P 1'
_symmetry_Int_Tables_number 1
loop_
_symmetry_equiv_pos_as_xyz
'x,y,z'
loop_
_atom_site_label
_atom_site_type_symbol
_atom_site_fract_x
_atom_site_fract_y
_atom_site_fract_z
Ac1 Ac 0.0000 0.0000 0.5000
Ac2 Ac 0.0000 0.5000 0.0000
Gd1 Gd 0.5000 0.5000 0.5000
La1 La 0.5000 0.0000 0.0000
```

Output
- Electronic total energy: -6.784 eV per atom
- Space group: P4/mmm
- Spin magnetization: 7.39 μB per formula unit
- Calculated volume: 39.44 Å³/atom
- Density of states at the Fermi level: 1.65 states/eV/atom
- ΔE_f: 0.022 eV/atom
- Energy above the lowest structure with this stoichiometry: 0.000 eV/atom


The following is a DFT calculation (GGA-PBE) of a geometry-optimized Ac2LaGd structure.

```
data_Ac2LaGd
_cell_length_a 3.7609
_cell_length_b 3.7609
_cell_length_c 13.4473
_cell_angle_alpha 81.96
_cell_angle_beta 81.96
_cell_angle_gamma 60.00
_symmetry_space_group_name_H-M 'P 1'
_symmetry_Int_Tables_number 1
loop_
_symmetry_equiv_pos_as_xyz
'x,y,z'
loop_
_atom_site_label
_atom_site_type_symbol
_atom_site_fract_x
_atom_site_fract_y
_atom_site_fract_z
Ac1 Ac 0.0900 0.0900 0.7299
Ac2 Ac 0.9100 0.9100 0.2701
Gd1 Gd 0.5000 0.5000 0.5000
La1 La 0.0000 0.0000 0.0000
```

Output
- Electronic total energy: -6.629 eV per atom
- Space group: R-3m
- Spin magnetization: 7.18 μB per formula unit
- Calculated volume: 40.64 Å³/atom
- Density of states at the Fermi level: 1.93 states/eV/atom
- ΔE_f: 0.178 eV/atom
- Energy above the lowest structure with this stoichiometry: 0.156 eV/atom


The following is a DFT calculation (GGA-PBE) of a geometry-optimized Ac4LaGd structure.

```
data_Ac4LaGd
_cell_length_a 7.2088
_cell_length_b 7.2088
_cell_length_c 7.2088
_cell_angle_alpha 60.00
_cell_angle_beta 60.00
_cell_angle_gamma 60.00
_symmetry_space_group_name_H-M 'P 1'
_symmetry_Int_Tables_number 1
loop_
_symmetry_equiv_pos_as_xyz
'x,y,z'
loop_
_atom_site_label
_atom_site_type_symbol
_atom_site_fract_x
_atom_site_fract_y
_atom_site_fract_z
Ac1 Ac 0.6252 0.6252 0.1243
Ac2 Ac 0.6252 0.1243 0.6252
Ac3 Ac 0.6252 0.6252 0.6252
Ac4 Ac 0.1243 0.6252 0.6252
Gd1 Gd 0.0000 0.0000 0.0000
La1 La 0.2500 0.2500 0.2500
```

Output
- Electronic total energy: -5.601 eV per atom
- Space group: F-43m
- Spin magnetization: 7.44 μB per formula unit
- Calculated volume: 44.15 Å³/atom
- Density of states at the Fermi level: 1.85 states/eV/atom
- ΔE_f: 0.306 eV/atom


The following is a DFT calculation (GGA-PBE) of a geometry-optimized AcLaGd structure.

```
data_AcLaGd
_cell_length_a 3.7987
_cell_length_b 3.7987
_cell_length_c 9.1491
_cell_angle_alpha 90.00
_cell_angle_beta 90.00
_cell_angle_gamma 120.00
_symmetry_space_group_name_H-M 'P 1'
_symmetry_Int_Tables_number 1
loop_
_symmetry_equiv_pos_as_xyz
'x,y,z'
loop_
_atom_site_label
_atom_site_type_symbol
_atom_site_fract_x
_atom_site_fract_y
_atom_site_fract_z
Ac1 Ac 0.6667 0.3333 0.3291
Gd1 Gd 0.0000 0.0000 0.9954
La1 La 0.3333 0.6667 0.6755
```

Output
- Electronic total energy: -7.670 eV per atom
- Space group: P3m1
- Spin magnetization: 7.72 μB per formula unit
- Calculated volume: 38.11 Å³/atom
- Density of states at the Fermi level: 1.75 states/eV/atom
- ΔE_f: 0.036 eV/atom
- Energy above the lowest structure with this stoichiometry: 0.015 eV/atom